1.
## Ce2Pm (PBE)

Data for Ce2Pm after structural relaxation.

## Properties
As for the total energy: -5.335 eV/atom. For the total moment, the calculation gives 0.794 μB/atom. As for the crystal system: cubic. As for the symmetry: Fd-3m. Its energy above the most stable polymorph in this dataset is 121 meV per atom. The value obtained for the formation enthalpy at 0 K is 0.61 eV/f.u.

Cell lengths 6.365, 6.365, 6.365 Å; angles 60.00, 60.00, 60.00 degrees
Each line ends with the local moment (μB).
Atoms (fractional coordinates):
Ce1 0.625 0.125 0.625  0.83
Pm1 0.000 0.000 0.000  0.08
Pm2 0.250 0.250 0.250  0.08
Ce2 0.625 0.625 0.125  0.83
Ce3 0.125 0.625 0.625  0.83
Ce4 0.625 0.625 0.625  0.83

***

2.
## PmDy3Ir2 (PBE)

Data for PmDy3Ir2 after structural relaxation.

## Properties
As for the total energy: -6.748 eV/atom. For the total moment, the calculation gives 0.000 μB/atom. As for the crystal system: orthorhombic. As for the symmetry: Pmc2_1. Its energy above the most stable polymorph in this dataset is 0 meV per atom. The value obtained for the formation enthalpy at 0 K is -4.21 eV/f.u.

Cell lengths 4.684, 7.259, 8.763 Å; angles 90.00, 90.00, 90.00 degrees
Atoms (fractional coordinates):
Dy1 0.000 0.360 0.328
Dy2 0.500 0.142 0.834
Pm1 0.500 0.510 0.584
Dy3 0.000 0.860 0.672
Pm2 0.500 0.010 0.416
Ir1 0.500 0.247 0.157
Dy4 0.000 0.490 0.914
Dy5 0.500 0.642 0.166
Dy6 0.000 0.990 0.086
Ir2 0.500 0.747 0.843
Ir3 0.000 0.253 0.662
Ir4 0.000 0.753 0.338

***

3.
## Li2AuI4 (PBE)

Data for Li2AuI4 after structural relaxation.

## Properties
As for the total energy: -2.517 eV/atom. For the total moment, the calculation gives 0.000 μB/atom. The formation energy (no corrections) is -0.62 eV per atom. As for the crystal system: monoclinic. As for the symmetry: C2/m. Its energy above the most stable polymorph in this dataset is 0 meV per atom.

Cell lengths 4.427, 7.263, 7.727 Å; angles 113.34, 106.65, 90.00 degrees
Atoms (fractional coordinates):
I1 0.117 0.800 0.235
Li1 0.744 0.773 0.489
I2 0.357 0.693 0.714
Li2 0.256 0.227 0.511
I3 0.643 0.307 0.286
I4 0.883 0.200 0.765
Au1 0.000 0.000 0.000

***

4.
## Sm3Mg7Al2 (PBE)

Data for Sm3Mg7Al2 after structural relaxation.

## Properties
As for the total energy: -2.838 eV/atom. For the total moment, the calculation gives 0.000 μB/atom. As for the crystal system: trigonal. As for the symmetry: R-3m. The value obtained for the formation enthalpy at 0 K is -1.25 eV/f.u.

Cell lengths 5.996, 5.996, 10.169 Å; angles 72.85, 72.85, 60.00 degrees
Atoms (fractional coordinates):
Al1 0.666 0.666 0.003
Sm1 0.000 0.000 0.000
Mg1 0.924 0.418 0.240
Mg2 0.500 0.500 0.500
Sm2 0.855 0.855 0.434
Sm3 0.145 0.145 0.566
Mg3 0.076 0.582 0.760
Mg4 0.582 0.076 0.760
Mg5 0.582 0.582 0.760
Al2 0.334 0.334 0.997
Mg6 0.418 0.418 0.240
Mg7 0.418 0.924 0.240

***

5.
## Rb2Li2PrBr6 (PBE)

Data for Rb2Li2PrBr6 after structural relaxation.

## Properties
As for the total energy: -3.431 eV/atom. For the total moment, the calculation gives 0.086 μB/atom. The formation energy (no corrections) is -1.56 eV per atom. As for the crystal system: monoclinic. As for the symmetry: C2/m.

Cell lengths 7.683, 7.595, 9.084 Å; angles 112.24, 90.00, 120.38 degrees
Each line ends with the local moment (μB).
Atoms (fractional coordinates):
Br1 0.791 0.113 0.800  0.01
Li1 0.049 0.099 0.320  0.01
Li2 0.951 0.901 0.680  0.01
Br2 0.209 0.887 0.200  0.01
Br3 0.742 0.484 0.580  0.00
Br4 0.323 0.113 0.800  0.01
Rb1 0.700 0.400 0.171  0.00
Rb2 0.300 0.600 0.829  0.00
Pr1 0.500 0.000 0.500  0.33
Br5 0.677 0.887 0.200  0.01
Br6 0.258 0.516 0.420  0.00

***

6.
## PrSm4Sc5 (PBE)

Data for PrSm4Sc5 after structural relaxation.

## Properties
As for the total energy: -5.291 eV/atom. For the total moment, the calculation gives 0.000 μB/atom. As for the crystal system: tetragonal. As for the symmetry: I4mm. The value obtained for the formation enthalpy at 0 K is 2.40 eV/f.u.

Cell lengths 5.851, 7.726, 7.726 Å; angles 81.76, 67.75, 67.75 degrees
Atoms (fractional coordinates):
Sm1 0.810 0.675 0.675
Sc1 0.111 0.000 0.620
Sm2 0.161 0.325 0.325
Pr1 0.203 0.000 0.000
Sm3 0.486 0.675 0.325
Sc2 0.731 0.000 0.380
Sc3 0.111 0.620 0.000
Sm4 0.486 0.325 0.675
Sc4 0.731 0.380 0.000
Sc5 0.680 0.000 0.000

***

7.
## Pr3GaH2 (PBE)

Data for Pr3GaH2 after structural relaxation.

## Properties
As for the total energy: -4.463 eV/atom. For the total moment, the calculation gives 0.000 μB/atom. As for the crystal system: orthorhombic. As for the symmetry: Pmmn.

Cell lengths 4.177, 5.123, 12.004 Å; angles 90.00, 90.00, 90.00 degrees
Atoms (fractional coordinates):
Pr1 0.845 0.500 0.000
Pr2 0.740 0.000 0.199
Pr3 0.260 0.500 0.699
H1 0.767 0.500 0.801
Ga1 0.265 0.000 0.000
H2 0.233 0.000 0.301
Pr4 0.155 0.000 0.500
H3 0.767 0.500 0.199
H4 0.233 0.000 0.699
Ga2 0.735 0.500 0.500
Pr5 0.740 0.000 0.801
Pr6 0.260 0.500 0.301

***

8.
## BaNi4As2 (PBE)

Data for BaNi4As2 after structural relaxation.

## Properties
As for the total energy: -5.341 eV/atom. For the total moment, the calculation gives 0.000 μB/atom. As for the crystal system: orthorhombic. As for the symmetry: Cmmm. The value obtained for the formation enthalpy at 0 K is -3.04 eV/f.u.

Cell lengths 4.029, 4.050, 7.818 Å; angles 105.01, 90.00, 90.00 degrees
Atoms (fractional coordinates):
Ba1 0.000 0.000 0.000
Ni1 0.000 0.299 0.598
Ni2 0.500 0.801 0.601
As1 0.500 0.376 0.751
Ni3 0.500 0.199 0.399
Ni4 0.000 0.701 0.402
As2 0.500 0.624 0.249

***

9.
## Al3Zn2 (PBE)

Data for Al3Zn2 after structural relaxation.

## Properties
As for the total energy: -2.620 eV/atom. For the total moment, the calculation gives 0.000 μB/atom. As for the crystal system: trigonal. As for the symmetry: R-3c. The value obtained for the formation enthalpy at 0 K is 0.67 eV/f.u.

Cell lengths 7.078, 7.078, 5.711 Å; angles 51.71, 51.71, 60.00 degrees
Atoms (fractional coordinates):
Zn1 0.395 0.395 0.814
Zn2 0.605 0.605 0.186
Al1 0.250 0.532 0.250
Al2 0.750 0.468 0.750
Al3 0.532 0.968 0.250
Zn3 0.895 0.895 0.314
Al4 0.968 0.250 0.250
Zn4 0.105 0.105 0.686
Al5 0.032 0.750 0.750
Al6 0.468 0.032 0.750

***

10.
## Rb3Tl2Pd4 (PBE)

Data for Rb3Tl2Pd4 after structural relaxation.

## Properties
As for the total energy: -3.281 eV/atom. For the total moment, the calculation gives 0.000 μB/atom. As for the crystal system: monoclinic. As for the symmetry: C2/m. The value obtained for the formation enthalpy at 0 K is -1.12 eV/f.u.

Cell lengths 4.673, 6.827, 9.516 Å; angles 105.24, 90.00, 110.01 degrees
Atoms (fractional coordinates):
Rb1 0.000 0.000 0.000
Pd1 0.761 0.522 0.082
Rb2 0.634 0.268 0.372
Pd2 0.079 0.158 0.632
Pd3 0.239 0.478 0.918
Tl1 0.662 0.325 0.775
Tl2 0.338 0.675 0.225
Rb3 0.366 0.732 0.628
Pd4 0.921 0.842 0.368

***

11.
## Pr4SnHg (PBE)

Data for Pr4SnHg after structural relaxation.

## Properties
As for the total energy: -4.166 eV/atom. For the total moment, the calculation gives 0.000 μB/atom. As for the crystal system: triclinic. As for the symmetry: P-1. The value obtained for the formation enthalpy at 0 K is -1.57 eV/f.u.

Cell lengths 6.169, 7.764, 9.260 Å; angles 102.15, 109.49, 90.01 degrees
Atoms (fractional coordinates):
Pr1 0.725 0.391 0.698
Hg1 0.000 0.500 0.500
Pr2 0.304 0.554 0.854
Pr3 0.696 0.446 0.146
Pr4 0.551 0.053 0.854
Sn1 0.120 0.250 0.000
Pr5 0.973 0.890 0.698
Sn2 0.880 0.750 0.000
Pr6 0.275 0.609 0.302
Hg2 0.500 0.000 0.500
Pr7 0.449 0.947 0.146
Pr8 0.027 0.110 0.302

***

12.
## Dy6MgAg5 (PBE)

Data for Dy6MgAg5 after structural relaxation.

## Properties
As for the total energy: -3.895 eV/atom. For the total moment, the calculation gives 0.000 μB/atom. As for the crystal system: monoclinic. As for the symmetry: C2/m. The value obtained for the formation enthalpy at 0 K is -3.28 eV/f.u.

Cell lengths 5.174, 7.270, 8.984 Å; angles 113.87, 106.80, 90.00 degrees
Atoms (fractional coordinates):
Mg1 0.000 0.000 0.000
Dy1 0.170 0.917 0.341
Ag1 0.344 0.845 0.689
Ag2 0.000 0.500 0.000
Dy2 0.830 0.576 0.659
Dy3 0.830 0.083 0.659
Ag3 0.656 0.155 0.311
Dy4 0.500 0.260 0.000
Ag4 0.333 0.333 0.666
Dy5 0.500 0.740 0.000
Ag5 0.667 0.667 0.334
Dy6 0.170 0.424 0.341

***

13.
## LiTa2Ag (PBE)

Data for LiTa2Ag after structural relaxation.

## Properties
As for the total energy: -6.666 eV/atom. For the total moment, the calculation gives 0.000 μB/atom. As for the crystal system: orthorhombic. As for the symmetry: Cmmm. Its energy above the most stable polymorph in this dataset is 305 meV per atom. The value obtained for the formation enthalpy at 0 K is 1.81 eV/f.u.

Cell lengths 5.422, 5.422, 2.731 Å; angles 90.00, 90.00, 120.67 degrees
Atoms (fractional coordinates):
Ta1 0.500 0.500 0.000
Li1 0.000 0.500 0.500
Ta2 0.000 0.000 0.000
Ag1 0.500 0.000 0.500

***

14.
## TlIn9Bi2 (PBE)

Data for TlIn9Bi2 after structural relaxation.

## Properties
As for the total energy: -2.880 eV/atom. For the total moment, the calculation gives 0.000 μB/atom. As for the crystal system: tetragonal. As for the symmetry: P4/mmm. The value obtained for the formation enthalpy at 0 K is 0.22 eV/f.u.

Cell lengths 5.052, 5.052, 13.475 Å; angles 90.00, 90.00, 90.00 degrees
Atoms (fractional coordinates):
In1 0.500 0.000 0.164
Bi1 0.000 0.000 0.329
In2 0.000 0.500 0.500
Bi2 0.000 0.000 0.671
In3 0.500 0.000 0.836
In4 0.500 0.000 0.500
In5 0.500 0.500 0.000
In6 0.500 0.500 0.331
In7 0.000 0.500 0.164
In8 0.000 0.500 0.836
Tl1 0.000 0.000 0.000
In9 0.500 0.500 0.669

***

15.
## HoTmAgGe (PBE)

Data for HoTmAgGe after structural relaxation.

## Properties
As for the total energy: -4.645 eV/atom. For the total moment, the calculation gives 0.000 μB/atom. As for the crystal system: cubic. As for the symmetry: F-43m. The value obtained for the formation enthalpy at 0 K is -2.06 eV/f.u.

Cell lengths 5.036, 5.036, 5.036 Å; angles 60.00, 60.00, 60.00 degrees
Atoms (fractional coordinates):
Tm1 0.500 0.500 0.500
Ge1 0.250 0.250 0.250
Ag1 0.750 0.750 0.750
Ho1 0.000 0.000 0.000

***

Number 1: DOS at the Fermi energy 18.41 states/eV/cell, theoretical density 7.74 Mg/m³. Number 2: DOS at the Fermi energy 11.12 states/eV/cell, theoretical density 11.34 Mg/m³. Number 3: DOS at the Fermi energy 3.72 states/eV/cell, theoretical density 5.50 Mg/m³. Number 4: DOS at the Fermi energy 11.16 states/eV/cell, theoretical density 3.77 Mg/m³. Number 5: DOS at the Fermi energy 0.87 states/eV/cell, theoretical density 3.25 Mg/m³. Number 6: DOS at the Fermi energy 14.41 states/eV/cell, theoretical density 5.37 Mg/m³. Number 7: DOS at the Fermi energy 3.75 states/eV/cell, theoretical density 6.39 Mg/m³. Number 8: DOS at the Fermi energy 8.16 states/eV/cell, theoretical density 7.03 Mg/m³. Number 9: DOS at the Fermi energy 2.83 states/eV/cell, theoretical density 4.06 Mg/m³. Number 10: DOS at the Fermi energy 3.49 states/eV/cell, theoretical density 6.61 Mg/m³. Number 11: DOS at the Fermi energy 13.54 states/eV/cell, theoretical density 7.20 Mg/m³. Number 12: DOS at the Fermi energy 7.21 states/eV/cell, theoretical density 8.72 Mg/m³. Number 13: DOS at the Fermi energy 4.10 states/eV/cell, theoretical density 11.46 Mg/m³. Number 14: DOS at the Fermi energy 3.83 states/eV/cell, theoretical density 7.99 Mg/m³. Number 15: DOS at the Fermi energy 3.13 states/eV/cell, theoretical density 9.46 Mg/m³.